[1]
# Nb2CdTcGe PBE-GGA relaxed
data_Nb2CdTcGe
_chemical_formula_sum 'Nb2 Cd1 Tc1 Ge1'
_symmetry_space_group_name_H-M 'P 1'
_symmetry_Int_Tables_number 1
_cell_length_a 4.8699
_cell_length_b 4.7324
_cell_length_c 4.8699
_cell_angle_alpha 90.00
_cell_angle_beta 90.00
_cell_angle_gamma 90.00
loop_
_symmetry_equiv_pos_as_xyz
'x,y,z'
loop_
_atom_site_label
_atom_site_type_symbol
_atom_site_fract_x
_atom_site_fract_y
_atom_site_fract_z
Ge1 Ge 0.0000 0.5000 0.0000
Nb1 Nb 0.5000 0.0000 0.0000
Nb2 Nb 0.0000 0.0000 0.5000
Tc1 Tc 0.0000 0.0000 0.0000
Cd1 Cd 0.5000 0.5000 0.5000
# N(E_F)   4.4 states/eV/f.u.
# Energy relative to the elements   4.00 eV/f.u.
# DFT total energy   -6.4071 eV/atom

[2]
# Nd3Rh4Pb4 PBE-GGA relaxed
data_Nd3Rh4Pb4
_chemical_formula_sum 'Nd3 Rh4 Pb4'
_symmetry_space_group_name_H-M 'P 1'
_symmetry_Int_Tables_number 1
_cell_length_a 4.2915
_cell_length_b 7.8453
_cell_length_c 8.8900
_cell_angle_alpha 116.18
_cell_angle_beta 103.97
_cell_angle_gamma 90.00
loop_
_symmetry_equiv_pos_as_xyz
'x,y,z'
loop_
_atom_site_label
_atom_site_type_symbol
_atom_site_fract_x
_atom_site_fract_y
_atom_site_fract_z
Nd1 Nd 0.1166 0.1166 0.2332
Rh1 Rh 0.5000 0.1866 0.0000
Rh2 Rh 0.5000 0.8134 0.0000
Pb1 Pb 0.6687 0.4653 0.3374
Nd2 Nd 0.8834 0.8834 0.7668
Rh3 Rh 0.2174 0.7174 0.4349
Pb2 Pb 0.3313 0.5347 0.6626
Pb3 Pb 0.6687 0.8721 0.3374
Pb4 Pb 0.3313 0.1279 0.6626
Rh4 Rh 0.7826 0.2826 0.5651
Nd3 Nd 0.0000 0.5000 0.0000
# N(E_F)   6.0 states/eV/f.u.
# Energy relative to the elements   -4.99 eV/f.u.
# DFT total energy   -5.7759 eV/atom